[1]
Density functional theory data (SCAN) for a PBEsol-optimized structure of Zn3AgAs3O12.

Cell lengths 8.590, 8.590, 6.826 Å; angles 105.11, 105.11, 95.22 degrees
Fractional coordinates of all 38 atoms:
Zn: 0.129 0.456 0.882
Zn: 0.214 0.786 0.750
Zn: 0.456 0.129 0.382
Zn: 0.544 0.871 0.618
Zn: 0.786 0.214 0.250
Zn: 0.871 0.544 0.118
Ag: 0.499 0.501 0.250
Ag: 0.501 0.499 0.750
As: 0.157 0.392 0.387
As: 0.191 0.809 0.250
As: 0.392 0.157 0.887
As: 0.608 0.843 0.113
As: 0.809 0.191 0.750
As: 0.843 0.608 0.613
O: 0.010 0.233 0.766
O: 0.029 0.218 0.339
O: 0.111 0.479 0.186
O: 0.176 0.525 0.633
O: 0.218 0.029 0.839
O: 0.230 0.696 0.020
O: 0.233 0.010 0.266
O: 0.304 0.770 0.480
O: 0.369 0.370 0.423
O: 0.370 0.369 0.923
O: 0.475 0.824 0.867
O: 0.479 0.111 0.686
O: 0.521 0.889 0.314
O: 0.525 0.176 0.133
O: 0.630 0.631 0.077
O: 0.631 0.630 0.577
O: 0.696 0.230 0.520
O: 0.767 0.990 0.734
O: 0.770 0.304 0.980
O: 0.782 0.971 0.161
O: 0.824 0.475 0.367
O: 0.889 0.521 0.814
O: 0.971 0.782 0.661
O: 0.990 0.767 0.234

Summary:
Fermi-level density of states: 8.2 states/eV/f.u.
Electronic total energy: -12.09 eV/atom
Formation energy (no corrections): -1186 meV per atom


[2]
Density functional theory data (SCAN) for a PBEsol-optimized structure of Ag2AsOs.

Cell lengths 3.026, 4.313, 4.813 Å; angles 90.00, 90.00, 90.00 degrees
Fractional coordinates of all 4 atoms:
Ag: 0.000 0.000 0.000
Ag: 0.500 0.500 0.000
As: 0.000 0.500 0.500
Os: 0.500 0.000 0.500

Summary:
Fermi-level density of states: 3.3 states/eV/f.u.
Electronic total energy: -38.09 eV/atom
ΔH_f (0 K): 607.7 meV/atom


[3]
Density functional theory data (SCAN) for a PBEsol-optimized structure of Ag2AsOs.

Cell lengths 2.921, 2.921, 26.460 Å; angles 90.00, 90.00, 120.00 degrees
Fractional coordinates of all 12 atoms:
Ag: 0.000 0.000 0.000
Ag: 0.000 0.000 0.247
Ag: 0.333 0.667 0.667
Ag: 0.333 0.667 0.914
Ag: 0.667 0.333 0.333
Ag: 0.667 0.333 0.581
As: 0.000 0.000 0.760
As: 0.333 0.667 0.427
As: 0.667 0.333 0.093
Os: 0.000 0.000 0.494
Os: 0.333 0.667 0.161
Os: 0.667 0.333 0.827

Summary:
Fermi-level density of states: 2.2 states/eV/f.u.
Electronic total energy: -38.44 eV/atom
ΔH_f (0 K): 266.1 meV/atom


[4]
Density functional theory data (SCAN) for a PBEsol-optimized structure of AgAs4Os.

Cell lengths 5.320, 5.320, 5.320 Å; angles 60.00, 60.00, 60.00 degrees
Fractional coordinates of all 6 atoms:
Ag: 0.000 0.000 0.000
As: 0.124 0.625 0.625
As: 0.625 0.124 0.625
As: 0.625 0.625 0.124
As: 0.625 0.625 0.625
Os: 0.250 0.250 0.250

Summary:
Fermi-level density of states: 3.4 states/eV/f.u.
Electronic total energy: -29.60 eV/atom
ΔH_f (0 K): 1066.2 meV/atom


[5]
Density functional theory data (SCAN) for a PBEsol-optimized structure of AgAs3P.

Cell lengths 4.713, 4.713, 4.713 Å; angles 90.00, 90.00, 90.00 degrees
Fractional coordinates of all 5 atoms:
Ag: 0.000 0.000 0.000
As: 0.000 0.500 0.500
As: 0.500 0.000 0.500
As: 0.500 0.500 0.000
P: 0.500 0.500 0.500

Summary:
Fermi-level density of states: 3.7 states/eV/f.u.
Electronic total energy: -19.63 eV/atom
ΔH_f (0 K): 836.0 meV/atom


[6]
Density functional theory data (SCAN) for a PBEsol-optimized structure of AgAs2P.

Cell lengths 3.117, 4.647, 9.394 Å; angles 90.00, 90.00, 90.00 degrees
Fractional coordinates of all 8 atoms:
Ag: 0.000 0.000 0.000
Ag: 0.500 0.500 0.000
As: 0.000 0.500 0.260
As: 0.000 0.500 0.740
As: 0.500 0.000 0.260
As: 0.500 0.000 0.740
P: 0.000 0.000 0.500
P: 0.500 0.500 0.500

Summary:
Fermi-level density of states: 1.4 states/eV/f.u.
Electronic total energy: -20.02 eV/atom
ΔH_f (0 K): 512.9 meV/atom


For reference, calculated volume by record: 462.6; 62.8; 195.5; 106.4; 104.7; 136.1 Å³ per cell.